Entry 1:
The following is a DFT calculation (GGA-PBE) of crystalline LiIn4Pb2 at its relaxed geometry.

a b c (Å): 4.769 19.203 4.626
angles (deg): 90.00 90.00 90.00
Space group Cmmm (No. 65)
One atom of each set of equivalent atoms:
Li (0.000, 0.000, 0.000) [2 per cell]
In (0.000, 0.083, 0.500) [4 per cell]
In (0.000, 0.417, 0.000) [4 per cell]
Pb (0.000, 0.307, 0.500) [4 per cell]

Results
Electronic total energy ... -2.836 eV/atom
Energy relative to the lowest polymorph listed for this composition ... 8.6 kJ per mole of atoms
Fermi-level density of states ... 4.95 states/eV per cell
Energy relative to the elements ... 0.0621 eV per atom

---

Entry 2:
The following is a DFT calculation (GGA-PBE) of crystalline Pa6OsRh5 at its relaxed geometry.

a b c (Å): 4.386 8.230 13.152
angles (deg): 90.00 90.00 90.00
Space group Immm (No. 71)
One atom of each set of equivalent atoms:
Pa (0.000, 0.244, 0.000) [4 per cell]
Pa (0.000, 0.251, 0.336) [8 per cell]
Os (0.000, 0.500, 0.500) [2 per cell]
Rh (0.000, 0.000, 0.170) [4 per cell]
Rh (0.000, 0.000, 0.500) [2 per cell]
Rh (0.000, 0.500, 0.168) [4 per cell]

Results
Electronic total energy ... -9.197 eV/atom
Fermi-level density of states ... 41.31 states/eV per cell
Energy relative to the elements ... -0.4502 eV per atom